Record 1
# PBE Ba2AlP, relaxed
data_Ba2AlP
_chemical_formula_sum 'Ba2 Al1 P1'
_cell_length_a 3.7319
_cell_length_b 3.7319
_cell_length_c 9.6012
_cell_angle_alpha 90.00
_cell_angle_beta 90.00
_cell_angle_gamma 90.00
_symmetry_space_group_name_H-M 'P 4 m m'
_symmetry_Int_Tables_number 99
_symmetry_space_group_name_Hall 'P 4 -2'
loop_
_atom_site_label
_atom_site_type_symbol
_atom_site_fract_x
_atom_site_fract_y
_atom_site_fract_z
Ba1 Ba 0.0000 0.0000 0.0000
Ba2 Ba 0.5000 0.5000 0.4243
Al1 Al 0.5000 0.5000 0.7524
P1 P 0.0000 0.0000 0.6572
# Energy relative to the lowest polymorph listed for this composition = 35.91 kJ/mol of atoms
# ΔH_f (0 K) = -212 meV/atom
# ρ = 4.130 Mg/m³

Record 2
# PBE Ba2AlP, relaxed
data_Ba2AlP
_chemical_formula_sum 'Ba4 Al2 P2'
_cell_length_a 7.8969
_cell_length_b 4.5609
_cell_length_c 9.3778
_cell_angle_alpha 90.00
_cell_angle_beta 106.37
_cell_angle_gamma 90.00
_symmetry_space_group_name_H-M 'C 1 2/m 1'
_symmetry_Int_Tables_number 12
_symmetry_space_group_name_Hall '-C 2y'
loop_
_atom_site_label
_atom_site_type_symbol
_atom_site_fract_x
_atom_site_fract_y
_atom_site_fract_z
Ba1 Ba 0.2323 0.0000 0.1963
Al1 Al 0.0000 0.0000 0.5000
P1 P 0.0000 0.5000 0.0000
# Energy relative to the lowest polymorph listed for this composition = 25.48 kJ/mol of atoms
# ΔH_f (0 K) = -320 meV/atom
# ρ = 3.409 Mg/m³

Record 3
# PBE BaAl2P, relaxed
data_BaAl2P
_chemical_formula_sum 'Ba1 Al2 P1'
_cell_length_a 3.5346
_cell_length_b 3.5346
_cell_length_c 7.4669
_cell_angle_alpha 90.00
_cell_angle_beta 90.00
_cell_angle_gamma 90.00
_symmetry_space_group_name_H-M 'P 4/m m m'
_symmetry_Int_Tables_number 123
_symmetry_space_group_name_Hall '-P 4 2'
loop_
_atom_site_label
_atom_site_type_symbol
_atom_site_fract_x
_atom_site_fract_y
_atom_site_fract_z
Ba1 Ba 0.0000 0.0000 0.0000
Al1 Al 0.5000 0.5000 0.3320
P1 P 0.0000 0.0000 0.5000
# ΔH_f (0 K) = -112 meV/atom
# ρ = 3.956 Mg/m³

Record 4
# PBE Ba2AlP, relaxed
data_Ba2AlP
_chemical_formula_sum 'Ba2 Al1 P1'
_cell_length_a 4.1270
_cell_length_b 4.1270
_cell_length_c 7.6713
_cell_angle_alpha 90.00
_cell_angle_beta 90.00
_cell_angle_gamma 90.00
_symmetry_space_group_name_H-M 'P 4/m m m'
_symmetry_Int_Tables_number 123
_symmetry_space_group_name_Hall '-P 4 2'
loop_
_atom_site_label
_atom_site_type_symbol
_atom_site_fract_x
_atom_site_fract_y
_atom_site_fract_z
Ba1 Ba 0.0000 0.0000 0.2180
Al1 Al 0.5000 0.5000 0.5000
P1 P 0.5000 0.5000 0.0000
# Energy relative to the lowest polymorph listed for this composition = 17.25 kJ/mol of atoms
# ΔH_f (0 K) = -405 meV/atom
# ρ = 4.227 Mg/m³

Record 5
# PBE BaAl2P, relaxed
data_BaAl2P
_chemical_formula_sum 'Ba4 Al8 P4'
_cell_length_a 8.0911
_cell_length_b 8.0911
_cell_length_c 6.4245
_cell_angle_alpha 90.00
_cell_angle_beta 90.00
_cell_angle_gamma 90.00
_symmetry_space_group_name_H-M 'I -4 2 d'
_symmetry_Int_Tables_number 122
_symmetry_space_group_name_Hall 'I -4 2bw'
loop_
_atom_site_label
_atom_site_type_symbol
_atom_site_fract_x
_atom_site_fract_y
_atom_site_fract_z
Ba1 Ba 0.0000 0.0000 0.0000
Al1 Al 0.1690 0.2500 0.6250
P1 P 0.0000 0.0000 0.5000
# ΔH_f (0 K) = -178 meV/atom
# ρ = 3.510 Mg/m³

Record 6
# PBE Ba2AlP, relaxed
data_Ba2AlP
_chemical_formula_sum 'Ba4 Al2 P2'
_cell_length_a 4.1958
_cell_length_b 5.0576
_cell_length_c 12.2411
_cell_angle_alpha 90.00
_cell_angle_beta 90.00
_cell_angle_gamma 90.00
_symmetry_space_group_name_H-M 'A m m 2'
_symmetry_Int_Tables_number 38
_symmetry_space_group_name_Hall 'A 2 -2'
loop_
_atom_site_label
_atom_site_type_symbol
_atom_site_fract_x
_atom_site_fract_y
_atom_site_fract_z
Ba1 Ba 0.0000 0.0000 0.0000
Ba2 Ba 0.5000 0.0000 0.2844
Al1 Al 0.5000 0.0000 0.5882
P1 P 0.0000 0.0000 0.7078
# Energy relative to the lowest polymorph listed for this composition = 0.00 kJ/mol of atoms
# ΔH_f (0 K) = -584 meV/atom
# ρ = 4.252 Mg/m³

Record 7
# PBE BaAlP, relaxed
data_BaAlP
_chemical_formula_sum 'Ba4 Al4 P4'
_cell_length_a 7.3723
_cell_length_b 7.3723
_cell_length_c 7.3723
_cell_angle_alpha 90.00
_cell_angle_beta 90.00
_cell_angle_gamma 90.00
_symmetry_space_group_name_H-M 'F -4 3 m'
_symmetry_Int_Tables_number 216
_symmetry_space_group_name_Hall 'F -4 2 3'
loop_
_atom_site_label
_atom_site_type_symbol
_atom_site_fract_x
_atom_site_fract_y
_atom_site_fract_z
Ba1 Ba 0.0000 0.0000 0.0000
Al1 Al 0.2500 0.2500 0.7500
P1 P 0.2500 0.2500 0.2500
# ΔH_f (0 K) = 221 meV/atom
# ρ = 3.237 Mg/m³

Record 8
# PBE BaAlP, relaxed
data_BaAlP
_chemical_formula_sum 'Ba2 Al2 P2'
_cell_length_a 3.5845
_cell_length_b 3.5845
_cell_length_c 11.6209
_cell_angle_alpha 90.00
_cell_angle_beta 90.00
_cell_angle_gamma 90.00
_symmetry_space_group_name_H-M 'I 4 m m'
_symmetry_Int_Tables_number 107
_symmetry_space_group_name_Hall 'I 4 -2'
loop_
_atom_site_label
_atom_site_type_symbol
_atom_site_fract_x
_atom_site_fract_y
_atom_site_fract_z
Ba1 Ba 0.0000 0.0000 0.0000
Al1 Al 0.0000 0.0000 0.7157
P1 P 0.0000 0.0000 0.2913
# ΔH_f (0 K) = -367 meV/atom
# ρ = 4.344 Mg/m³